Below is a relaxed structure of FeSi2Pt, with properties calculated at the PBE level.

extended XYZ file:
```
4
Lattice="-1.641 1.716 4.764 1.641 -1.716 4.764 1.641 1.716 -4.764" Properties=species:S:1:pos:R:3 pbc="T T T"
Fe 0.000 0.000 0.000
Si 0.000 0.000 5.330
Si 0.000 1.716 3.189
Pt 1.641 0.000 2.373
```

Computed properties:
Spin magnetization: 0.00 μB per formula unit
SG: No. 44
Formation energy (no corrections): -117.1 kJ/mol of formula units
Fermi-level density of states: 1.17 states/eV/f.u.

Below is a relaxed structure of Er5Si2Pb, with properties calculated at the PBE level.

extended XYZ file:
```
16
Lattice="-3.894 3.894 6.694 3.894 -3.894 6.694 3.894 3.894 -6.694" Properties=species:S:1:pos:R:3 pbc="T T T"
Er 0.000 0.000 0.000
Er 5.110 1.216 -1.864
Er 1.216 2.678 -1.864
Er 5.110 1.216 1.864
Er 1.216 2.678 1.864
Er 0.000 0.000 6.694
Er 2.678 1.216 4.830
Er -1.216 2.678 4.830
Er 2.678 1.216 8.558
Er -1.216 2.678 8.558
Si 2.764 1.130 0.000
Si 2.764 -1.130 6.694
Si 1.130 5.023 0.000
Si 1.130 2.764 6.694
Pb 0.000 0.000 3.347
Pb 0.000 0.000 10.041
```

Computed properties:
Spin magnetization: 0.00 μB per formula unit
SG: No. 140
Formation energy (no corrections): -483.5 kJ/mol of formula units
Fermi-level density of states: 7.15 states/eV/f.u.

Below is a relaxed structure of KMgSb, with properties calculated at the PBE level.

extended XYZ file:
```
3
Lattice="-1.804 1.804 7.491 1.804 -1.804 7.491 1.804 1.804 -7.491" Properties=species:S:1:pos:R:3 pbc="T T T"
K 0.000 0.000 0.000
Mg 0.000 0.000 4.383
Sb 0.000 0.000 10.149
```

Computed properties:
Spin magnetization: 0.00 μB per formula unit
SG: No. 107
Formation energy (no corrections): -21.9 kJ/mol of formula units
Fermi-level density of states: 2.38 states/eV/f.u.

Below is a relaxed structure of Tb3AsSeS, with properties calculated at the PBE level.

extended XYZ file:
```
12
Lattice="3.397 -7.144 0.000 3.397 7.144 0.000 -2.270 0.000 6.366" Properties=species:S:1:pos:R:3 pbc="T T T"
Tb 1.680 1.099 0.007
Tb 1.694 3.639 4.774
Tb 0.545 -1.099 3.189
Tb 3.978 1.099 3.176
Tb 2.829 -3.639 1.591
Tb 2.843 -1.099 6.359
As 1.694 0.924 4.774
As 2.829 -0.924 1.591
Se 2.829 3.572 1.591
Se 1.694 -3.572 4.774
S 1.694 6.336 4.774
S 2.829 -6.336 1.591
```

Computed properties:
Spin magnetization: 0.20 μB per formula unit
SG: No. 15
Formation energy (no corrections): -827.1 kJ/mol of formula units
Fermi-level density of states: 3.83 states/eV/f.u.

Below is a relaxed structure of Nb2PH2, with properties calculated at the PBE level.

extended XYZ file:
```
5
Lattice="-1.580 1.580 5.410 1.580 -1.580 5.410 1.580 1.580 -5.410" Properties=species:S:1:pos:R:3 pbc="T T T"
Nb 0.000 0.000 1.456
Nb 0.000 0.000 9.363
P 0.000 0.000 5.410
H 1.580 0.000 2.705
H 0.000 1.580 2.705
```

Computed properties:
Spin magnetization: 0.00 μB per formula unit
SG: No. 139
Raw total energy: -6.86 eV per atom
Fermi-level density of states: 2.63 states/eV/f.u.

Below is a relaxed structure of CaTeAs2Se, with properties calculated at the PBE level.

extended XYZ file:
```
5
Lattice="5.483 0.000 0.000 0.000 5.483 0.000 0.000 0.000 5.213" Properties=species:S:1:pos:R:3 pbc="T T T"
Ca 0.000 0.000 0.000
Te 2.741 2.741 2.607
As 0.000 2.741 0.000
As 2.741 0.000 0.000
Se 0.000 0.000 2.607
```

Computed properties:
Spin magnetization: 0.00 μB per formula unit
SG: No. 123
Formation energy (no corrections): 291.8 kJ/mol of formula units
Fermi-level density of states: 7.13 states/eV/f.u.

Below is a relaxed structure of Cs3Al5Br12, with properties calculated at the PBE level.

extended XYZ file:
```
80
Lattice="-9.359 9.359 9.359 9.359 -9.359 9.359 9.359 9.359 -9.359" Properties=species:S:1:pos:R:3 pbc="T T T"
Cs 4.680 2.340 0.000
Cs 9.359 4.680 -2.340
Cs 2.340 0.000 4.680
Cs 11.699 0.000 4.680
Cs 0.000 4.680 2.340
Cs 4.680 -2.340 9.359
Cs 4.680 11.699 0.000
Cs 9.359 4.680 7.019
Cs -2.340 9.359 4.680
Cs 7.019 9.359 4.680
Cs 0.000 4.680 11.699
Cs 4.680 7.019 9.359
Al 0.000 0.000 0.000
Al 4.680 4.680 -4.680
Al 4.680 -4.680 4.680
Al 9.359 0.000 0.000
Al 14.039 2.340 0.000
Al 9.359 -4.680 7.019
Al 7.019 9.359 -4.680
Al 7.019 0.000 4.680
Al 4.680 7.019 0.000
Al 9.359 4.680 2.340
Al -4.680 4.680 4.680
Al 0.000 9.359 0.000
Al 0.000 0.000 9.359
Al 4.680 4.680 4.680
Al 0.000 4.680 7.019
Al 4.680 2.340 9.359
Al 2.340 9.359 4.680
Al 2.340 0.000 14.039
Al 0.000 14.039 2.340
Al -4.680 7.019 9.359
Br 7.609 -5.492 5.560
Br 15.788 0.881 -0.813
Br 12.289 0.881 0.813
Br 11.109 -3.867 5.560
Br 13.226 3.799 -1.750
Br 10.172 -6.429 8.478
Br 5.560 7.609 -5.492
Br 8.478 -0.813 2.930
Br 8.478 10.172 -6.429
Br 5.560 -1.750 5.492
Br 5.492 5.560 -1.750
Br 8.546 2.930 0.881
Br 14.851 3.799 1.750
Br 8.546 -2.930 8.478
Br 8.478 8.546 -2.930
Br 5.560 1.750 3.867
Br 5.560 11.109 -3.867
Br 8.478 0.813 6.429
Br 3.867 5.560 1.750
Br 10.172 6.429 0.881
Br 2.930 8.478 -0.813
Br 11.109 3.867 3.799
Br 6.429 8.478 0.813
Br 7.609 5.492 3.799
Br 1.750 3.867 5.560
Br 2.930 0.881 8.546
Br -1.750 5.492 5.560
Br 6.429 0.881 10.172
Br -0.813 2.930 8.478
Br 5.492 3.799 7.609
Br 0.881 8.546 2.930
Br 3.799 -1.750 13.226
Br 3.799 7.609 5.492
Br 0.881 0.813 12.289
Br 0.813 12.289 0.881
Br -5.492 5.560 7.609
Br 0.813 6.429 8.478
Br 3.867 3.799 11.109
Br 3.799 11.109 3.867
Br 0.881 -0.813 15.788
Br 0.881 10.172 6.429
Br 3.799 1.750 14.851
Br -0.813 15.788 0.881
Br -3.867 5.560 11.109
Br -1.750 13.226 3.799
Br -2.930 8.478 8.546
Br -6.429 8.478 10.172
Br 1.750 14.851 3.799
```

Computed properties:
Spin magnetization: 0.00 μB per formula unit
SG: No. 230
Formation energy (no corrections): -1937.0 kJ/mol of formula units
Fermi-level density of states: 3.51 states/eV/f.u.

Below is a relaxed structure of LaAgPt2, with properties calculated at the PBE level.

extended XYZ file:
```
4
Lattice="0.000 3.447 3.447 3.447 0.000 3.447 3.447 3.447 0.000" Properties=species:S:1:pos:R:3 pbc="T T T"
La 0.000 0.000 0.000
Ag 1.724 1.724 1.724
Pt 3.447 3.447 3.447
Pt 5.171 5.171 5.171
```

Computed properties:
Spin magnetization: 0.00 μB per formula unit
SG: No. 216
Raw total energy: -5.45 eV per atom
Fermi-level density of states: 1.64 states/eV/f.u.

Below is a relaxed structure of Dy5Er, with properties calculated at the PBE level.

extended XYZ file:
```
6
Lattice="2.494 -7.489 0.000 2.494 7.489 0.000 0.000 0.000 4.986" Properties=species:S:1:pos:R:3 pbc="T T T"
Dy 0.000 0.000 0.000
Dy 2.494 4.997 2.493
Dy 2.494 2.495 0.000
Dy 2.494 -2.495 0.000
Dy 2.494 -4.997 2.493
Er 2.494 0.000 2.493
```

Computed properties:
Spin magnetization: 0.00 μB per formula unit
SG: No. 65
Raw total energy: -4.58 eV per atom
Fermi-level density of states: 7.83 states/eV/f.u.

Below is a relaxed structure of MnAgSe2, with properties calculated at the PBE level.

extended XYZ file:
```
12
Lattice="3.751 0.000 0.000 -1.875 3.248 0.000 0.000 0.000 23.327" Properties=species:S:1:pos:R:3 pbc="T T T"
Mn -1.258 2.179 7.776
Mn 0.617 1.069 0.000
Mn 2.516 0.000 15.552
Ag -1.246 2.159 19.439
Ag 0.629 1.090 11.664
Ag 2.492 0.000 3.888
Se -1.235 2.165 16.934
Se 0.618 1.096 9.158
Se 0.640 1.083 14.169
Se 0.617 3.235 1.382
Se 2.493 0.013 6.394
Se 2.493 2.152 21.945
```

Computed properties:
Spin magnetization: 4.00 μB per formula unit
SG: No. 154
Formation energy (no corrections): -102.4 kJ/mol of formula units
Fermi-level density of states: 1.68 states/eV/f.u.

Below is a relaxed structure of NiMo2N, with properties calculated at the PBE level.

extended XYZ file:
```
8
Lattice="-2.333 2.333 5.557 2.333 -2.333 5.557 2.333 2.333 -5.557" Properties=species:S:1:pos:R:3 pbc="T T T"
Ni 0.000 0.000 0.000
Ni 0.000 2.333 2.779
Mo 1.167 -0.793 4.168
Mo 1.540 1.167 1.389
Mo 1.167 3.127 -1.389
Mo 0.793 1.167 6.946
N 2.333 0.000 2.779
N 0.000 0.000 5.557
```

Computed properties:
Spin magnetization: 0.00 μB per formula unit
SG: No. 122
Formation energy (no corrections): 166.0 kJ/mol of formula units
Fermi-level density of states: 4.20 states/eV/f.u.

Below is a relaxed structure of Cu4Br, with properties calculated at the PBE level.

extended XYZ file:
```
5
Lattice="-2.831 2.831 2.831 2.831 -2.831 2.831 2.831 2.831 -2.831" Properties=species:S:1:pos:R:3 pbc="T T T"
Cu 1.416 1.416 -1.416
Cu 1.416 -1.416 1.416
Cu -1.416 1.416 1.416
Cu 1.416 1.416 1.416
Br 0.000 0.000 0.000
```

Computed properties:
Spin magnetization: 0.00 μB per formula unit
SG: No. 229
Formation energy (no corrections): 456.3 kJ/mol of formula units
Fermi-level density of states: 3.15 states/eV/f.u.

Question: The lowest Fermi-level density of states belongs to which entry?
Answer: FeSi2Pt